Here is crystalline RbScNiTe3 at its relaxed geometry from OQMD. Energies are from PBE.

a b c (Å): 16.604 4.178 10.932
angles (deg): 90.00 90.00 90.00
Space group Pnma (No. 62)
Asymmetric unit:
Rb1 0.230 0.250 0.029 [4 per cell]
Sc1 0.023 0.250 0.346 [4 per cell]
Ni1 0.017 0.750 0.115 [4 per cell]
Te1 0.066 0.750 0.895 [4 per cell]
Te2 0.095 0.250 0.587 [4 per cell]
Te3 0.134 0.750 0.263 [4 per cell]

## Properties
E_tot in eV per atom: -4.5580

Here is crystalline RbScNiTe3 at its relaxed geometry from OQMD. Energies are from PBE.

a b c (Å): 17.218 4.392 9.405
angles (deg): 90.00 97.44 90.00
Space group C2/m (No. 12)
Asymmetric unit:
Rb1 0.155 0.000 0.072 [4 per cell]
Sc1 0.167 0.000 0.576 [4 per cell]
Ni1 0.007 0.500 0.325 [4 per cell]
Te1 0.000 0.000 0.500 [2 per cell]
Te2 0.000 0.500 0.000 [2 per cell]
Te3 0.139 0.500 0.770 [4 per cell]
Te4 0.162 0.500 0.364 [4 per cell]

## Properties
E_tot in eV per atom: -4.3865

Here is crystalline RbScNiTe3 at its relaxed geometry from OQMD. Energies are from PBE.

a b c (Å): 9.750 4.339 17.349
angles (deg): 90.00 90.00 90.00
Space group Pnma (No. 62)
Asymmetric unit:
Rb1 0.228 0.250 0.006 [4 per cell]
Sc1 0.035 0.250 0.277 [4 per cell]
Ni1 0.159 0.250 0.758 [4 per cell]
Te1 0.055 0.250 0.622 [4 per cell]
Te2 0.112 0.750 0.173 [4 per cell]
Te3 0.194 0.750 0.839 [4 per cell]

## Properties
E_tot in eV per atom: -4.5697